Material: Pm8Sn3
Method: DFT, PBE-GGA
State: relaxed

a = 10.3107 Å, b = 10.3107 Å, c = 12.7854 Å
α = 90.00°, β = 90.00°, γ = 120.00°
Closest atoms and distances in Å follow each position.
Space group R-3 (No. 148, hexagonal axes)
Inequivalent atoms, fractional coordinates:
Pm 0.0000 0.0000 0.1468  3 Sn 2.99
Pm 0.0330 0.2383 0.6114  2 Sn 3.09-3.22
Sn 0.0000 0.5000 0.5000  6 Pm 2.99-3.22

Output
**E_form**: -162 meV/atom

=====

Material: Ni3AuSe
Method: DFT, PBE-GGA
State: relaxed

a = 4.6789 Å, b = 4.6789 Å, c = 4.6789 Å
α = 90.00°, β = 90.00°, γ = 90.00°
Closest atoms and distances in Å follow each position.
Space group Pm-3m (No. 221)
Inequivalent atoms, fractional coordinates:
Ni 0.0000 0.0000 0.5000  2 Au 2.34
Au 0.0000 0.0000 0.0000  6 Ni 2.34
Se 0.5000 0.5000 0.5000  12 Ni 3.31

Output
**Uncorrected formation energy**: 1.20 eV/atom

=====

Total magnetization readings, ordered: 0.000; 2.639 μB per cell
E_tot readings, ordered: -4.709; -3.619 eV/atom